This record from the Alexandria database describes an optimized crystal structure of Ba2Mg4AlGa3. The functional is PBE-GGA.

Cell and atoms, written as extended XYZ:
```
10
Lattice="4.746 0.000 0.000 0.000 4.746 0.000 0.000 0.000 11.869" Properties=species:S:1:pos:R:3 pbc="T T T"
Ba 0.000 2.373 2.973
Ba 2.373 0.000 8.897
Mg 0.000 0.000 0.000
Mg 0.000 2.373 7.513
Mg 2.373 0.000 4.356
Mg 2.373 2.373 0.000
Al 0.000 0.000 5.935
Ga 0.000 2.373 10.315
Ga 2.373 0.000 1.555
Ga 2.373 2.373 5.935
```

Properties
- crystal system = tetragonal
- size of the total moment (μB/f.u.) = 0.00
- ΔE_f (eV/atom) = -0.230